NaCd2GaCo | Alexandria | PBE | relaxed; D(E_F) = 0.281 states/eV per atom; SG = P4/mmm, No. 123; total energy = -13.16 eV/cell
1.0
5.032 0.000 0.000
0.000 5.032 0.000
0.000 0.000 4.556
Na Cd Ga Co
1 2 1 1
direct
0.000 0.000 0.000
0.000 0.500 0.500
0.500 0.000 0.500
0.500 0.500 0.000
0.500 0.500 0.500



CeNiAu11 | Alexandria | PBE | relaxed; D(E_F) = 0.880 states/eV per atom; SG = C2/m, No. 12; total energy = -49.94 eV/cell
1.0
2.768 -6.838 0.000
2.768 6.838 0.000
-2.714 0.000 6.601
Ce Ni Au
1 1 11
direct
0.000 0.000 0.000
0.000 0.000 0.500
0.000 0.500 0.000
0.006 0.672 0.645
0.276 0.484 0.783
0.328 0.994 0.355
0.484 0.276 0.783
0.500 0.000 0.000
0.500 0.500 0.500
0.516 0.724 0.217
0.672 0.006 0.645
0.724 0.516 0.217
0.994 0.328 0.355